# NbMoC3 PBE optimized geometry
# - Calculated volume: 69.1 Å³/cell
# - Calculated total energy: -37.562 eV for the cell shown
# - DFT formation energy: 2202 meV per atom
# - Offset from the most stable computed form: 0.477 eV/atom
data_NbMoC3
_chemical_formula_sum 'Nb1 Mo1 C3'
_symmetry_space_group_name_H-M 'P m -3 m'
_symmetry_Int_Tables_number 221
_symmetry_space_group_name_Hall '-P 4 2 3'
_cell_length_a 4.105
_cell_length_b 4.105
_cell_length_c 4.105
_cell_angle_alpha 90.00
_cell_angle_beta 90.00
_cell_angle_gamma 90.00
loop_
_atom_site_label
_atom_site_type_symbol
_atom_site_fract_x
_atom_site_fract_y
_atom_site_fract_z
Nb1 Nb 0.000 0.000 0.000
Mo1 Mo 0.500 0.500 0.500
C1 C 0.000 0.000 0.500

***

# K2PtAu PBE optimized geometry
# - Calculated volume: 135.9 Å³/cell
# - Calculated total energy: -11.545 eV for the cell shown
# - DFT formation energy: -8 meV per atom
# - Offset from the most stable computed form: 0.147 eV/atom
data_K2PtAu
_chemical_formula_sum 'K2 Pt1 Au1'
_symmetry_space_group_name_H-M 'P 4 m m'
_symmetry_Int_Tables_number 99
_cell_length_a 3.759
_cell_length_b 3.759
_cell_length_c 9.617
_cell_angle_alpha 90.00
_cell_angle_beta 90.00
_cell_angle_gamma 90.00
loop_
_symmetry_equiv_pos_as_xyz
'x,y,z'
'-y,x,z'
'-x,-y,z'
'y,-x,z'
'-x,y,z'
'y,x,z'
'x,-y,z'
'-y,-x,z'
loop_
_atom_site_label
_atom_site_type_symbol
_atom_site_fract_x
_atom_site_fract_y
_atom_site_fract_z
K1 K 0.000 0.000 0.000
K2 K 0.500 0.500 0.425
Pt1 Pt 0.000 0.000 0.688
Au1 Au 0.500 0.500 0.740

***

# CaScCd2 PBE optimized geometry
# - Calculated volume: 103.4 Å³/cell
# - Calculated total energy: -10.621 eV for the cell shown
# - DFT formation energy: -114 meV per atom
data_CaScCd2
_chemical_formula_sum 'Ca1 Sc1 Cd2'
_symmetry_space_group_name_H-M 'P 4 m m'
_symmetry_Int_Tables_number 99
_cell_length_a 3.876
_cell_length_b 3.876
_cell_length_c 6.885
_cell_angle_alpha 90.00
_cell_angle_beta 90.00
_cell_angle_gamma 90.00
loop_
_symmetry_equiv_pos_as_xyz
'x,y,z'
'-y,x,z'
'-x,-y,z'
'y,-x,z'
'-x,y,z'
'y,x,z'
'x,-y,z'
'-y,-x,z'
loop_
_atom_site_label
_atom_site_type_symbol
_atom_site_fract_x
_atom_site_fract_y
_atom_site_fract_z
Ca1 Ca 0.000 0.000 0.000
Sc1 Sc 0.500 0.500 0.692
Cd1 Cd 0.000 0.000 0.494
Cd2 Cd 0.500 0.500 0.245

***

# CaCd PBE optimized geometry
# - Calculated volume: 1010.4 Å³/cell
# - Calculated total energy: -53.651 eV for the cell shown
# - DFT formation energy: -218 meV per atom
data_CaCd
_chemical_formula_sum 'Ca16 Cd16'
_symmetry_space_group_name_H-M 'F d d d'
_symmetry_Int_Tables_number 70
_cell_length_a 8.179
_cell_length_b 9.873
_cell_length_c 12.513
_cell_angle_alpha 90.00
_cell_angle_beta 90.00
_cell_angle_gamma 90.00
loop_
_symmetry_equiv_pos_as_xyz
'x,y,z'
'-x,-y,-z'
'-x+1/4,-y+1/4,z'
'x+1/4,y+1/4,-z'
'x,-y+1/4,-z+1/4'
'-x,y+1/4,z+1/4'
'-x+1/4,y,-z+1/4'
'x+1/4,-y,z+1/4'
'x,y+1/2,z+1/2'
'-x,-y+1/2,-z+1/2'
'-x+1/4,-y+3/4,z+1/2'
'x+1/4,y+3/4,-z+1/2'
'x,-y+3/4,-z+3/4'
'-x,y+3/4,z+3/4'
'-x+1/4,y+1/2,-z+3/4'
'x+1/4,-y+1/2,z+3/4'
'x+1/2,y,z+1/2'
'-x+1/2,-y,-z+1/2'
'-x+3/4,-y+1/4,z+1/2'
'x+3/4,y+1/4,-z+1/2'
'x+1/2,-y+1/4,-z+3/4'
'-x+1/2,y+1/4,z+3/4'
'-x+3/4,y,-z+3/4'
'x+3/4,-y,z+3/4'
'x+1/2,y+1/2,z'
'-x+1/2,-y+1/2,-z'
'-x+3/4,-y+3/4,z'
'x+3/4,y+3/4,-z'
'x+1/2,-y+3/4,-z+1/4'
'-x+1/2,y+3/4,z+1/4'
'-x+3/4,y+1/2,-z+1/4'
'x+3/4,-y+1/2,z+1/4'
loop_
_atom_site_label
_atom_site_type_symbol
_atom_site_fract_x
_atom_site_fract_y
_atom_site_fract_z
Ca1 Ca 0.125 0.323 0.125
Cd1 Cd 0.053 0.375 0.875

***

# TlInW PBE optimized geometry
# - Calculated volume: 300.4 Å³/cell
# - Calculated total energy: -58.431 eV for the cell shown
# - DFT formation energy: 1150 meV per atom
# - Offset from the most stable computed form: 0.362 eV/atom
data_TlInW
_chemical_formula_sum 'Tl4 In4 W4'
_symmetry_space_group_name_H-M 'F -4 3 m'
_symmetry_Int_Tables_number 216
_symmetry_space_group_name_Hall 'F -4 2 3'
_cell_length_a 6.697
_cell_length_b 6.697
_cell_length_c 6.697
_cell_angle_alpha 90.00
_cell_angle_beta 90.00
_cell_angle_gamma 90.00
loop_
_atom_site_label
_atom_site_type_symbol
_atom_site_fract_x
_atom_site_fract_y
_atom_site_fract_z
Tl1 Tl 0.000 0.000 0.000
In1 In 0.000 0.000 0.500
W1 W 0.250 0.250 0.750

***

# BaNa22Hg6 PBE optimized geometry
# - Calculated volume: 3964.7 Å³/cell
# - Calculated total energy: -144.615 eV for the cell shown
# - DFT formation energy: -117 meV per atom
data_BaNa22Hg6
_chemical_formula_sum 'Ba4 Na88 Hg24'
_symmetry_space_group_name_H-M 'F m -3 m'
_symmetry_Int_Tables_number 225
_symmetry_space_group_name_Hall '-F 4 2 3'
_cell_length_a 15.827
_cell_length_b 15.827
_cell_length_c 15.827
_cell_angle_alpha 90.00
_cell_angle_beta 90.00
_cell_angle_gamma 90.00
loop_
_atom_site_label
_atom_site_type_symbol
_atom_site_fract_x
_atom_site_fract_y
_atom_site_fract_z
Ba1 Ba 0.000 0.000 0.000
Na1 Na 0.000 0.177 0.177
Na2 Na 0.114 0.114 0.386
Na3 Na 0.250 0.250 0.250
Hg1 Hg 0.000 0.000 0.256

***

# Nd5DyAg4 PBE optimized geometry
# - Calculated volume: 279.3 Å³/cell
# - Calculated total energy: -41.790 eV for the cell shown
# - DFT formation energy: -194 meV per atom
data_Nd5DyAg4
_chemical_formula_sum 'Nd5 Dy1 Ag4'
_symmetry_space_group_name_H-M 'P 4/m m m'
_symmetry_Int_Tables_number 123
_symmetry_space_group_name_Hall '-P 4 2'
_cell_length_a 3.720
_cell_length_b 3.720
_cell_length_c 20.176
_cell_angle_alpha 90.00
_cell_angle_beta 90.00
_cell_angle_gamma 90.00
loop_
_atom_site_label
_atom_site_type_symbol
_atom_site_fract_x
_atom_site_fract_y
_atom_site_fract_z
Nd1 Nd 0.000 0.000 0.000
Nd2 Nd 0.000 0.000 0.190
Nd3 Nd 0.000 0.000 0.378
Dy1 Dy 0.500 0.500 0.500
Ag1 Ag 0.500 0.500 0.095
Ag2 Ag 0.500 0.500 0.284

***

# Ac2Nd8Sc PBE optimized geometry
# - Calculated volume: 788.8 Å³/cell
# - Calculated total energy: -104.422 eV for the cell shown
# - DFT formation energy: 44 meV per atom
data_Ac2Nd8Sc
_chemical_formula_sum 'Ac4 Nd16 Sc2'
_symmetry_space_group_name_H-M 'C 1 2/m 1'
_symmetry_Int_Tables_number 12
_cell_length_a 18.833
_cell_length_b 5.256
_cell_length_c 8.268
_cell_angle_alpha 90.00
_cell_angle_beta 105.47
_cell_angle_gamma 90.00
loop_
_symmetry_equiv_pos_as_xyz
'x,y,z'
'-x,-y,-z'
'-x,y,-z'
'x,-y,z'
'x+1/2,y+1/2,z'
'-x+1/2,-y+1/2,-z'
'-x+1/2,y+1/2,-z'
'x+1/2,-y+1/2,z'
loop_
_atom_site_label
_atom_site_type_symbol
_atom_site_fract_x
_atom_site_fract_y
_atom_site_fract_z
Ac1 Ac 0.226 0.000 0.141
Nd1 Nd 0.042 0.000 0.231
Nd2 Nd 0.087 0.500 0.943
Nd3 Nd 0.131 0.000 0.668
Nd4 Nd 0.176 0.500 0.407
Sc1 Sc 0.000 0.500 0.500